First-principles (GGA-PBE) data for crystalline NaCd2HgPt at its relaxed geometry, as listed in the Alexandria database.

Summary:
energy above the most stable polymorph in this dataset	8.9	kJ per mole of atoms
energy of formation	-55	meV per atom
magnetic moment	0.00	μB/f.u.
uncorrected energy	-1.954	eV/atom

a b c (Å): 5.244 5.244 5.483
angles (deg): 90.00 90.00 90.00
Space group P4/mmm (No. 123)
One atom of each set of equivalent atoms:
Na1 0.000 0.000 0.000
Cd1 0.000 0.500 0.500
Hg1 0.500 0.500 0.000
Pt1 0.000 0.000 0.500

---

First-principles (GGA-PBE) data for crystalline NaCdHgPt at its relaxed geometry, as listed in the Alexandria database.

Summary:
energy of formation	-206	meV per atom
magnetic moment	0.00	μB/f.u.
uncorrected energy	-2.350	eV/atom

a b c (Å): 6.791 6.791 6.791
angles (deg): 90.00 90.00 90.00
Space group F-43m (No. 216)
One atom of each set of equivalent atoms:
Na1 0.000 0.000 0.000
Cd1 0.250 0.250 0.750
Hg1 0.250 0.250 0.250
Pt1 0.000 0.000 0.500

---

First-principles (GGA-PBE) data for crystalline Rb2Na5Cd2Hg at its relaxed geometry, as listed in the Alexandria database.

Summary:
energy of formation	-42	meV per atom
magnetic moment	0.00	μB/f.u.
uncorrected energy	-1.108	eV/atom

a b c (Å): 13.439 13.439 4.122
angles (deg): 90.00 90.00 90.00
Space group P4/mbm (No. 127)
One atom of each set of equivalent atoms:
Rb1 0.173 0.327 0.000
Na1 0.000 0.500 0.500
Na2 0.058 0.815 0.500
Cd1 0.130 0.630 0.000
Hg1 0.000 0.000 0.000

---

First-principles (GGA-PBE) data for crystalline RbNaCdHg2 at its relaxed geometry, as listed in the Alexandria database.

Summary:
energy above the most stable polymorph in this dataset	16.5	kJ per mole of atoms
energy of formation	-12	meV per atom
magnetic moment	0.00	μB/f.u.
uncorrected energy	-0.773	eV/atom

a b c (Å): 5.848 5.848 5.868
angles (deg): 90.00 90.00 90.00
Space group P4/mmm (No. 123)
One atom of each set of equivalent atoms:
Rb1 0.000 0.000 0.000
Na1 0.500 0.500 0.500
Cd1 0.500 0.500 0.000
Hg1 0.000 0.500 0.500

---

First-principles (GGA-PBE) data for crystalline RbNaCdHg at its relaxed geometry, as listed in the Alexandria database.

Summary:
energy above the most stable polymorph in this dataset	5.9	kJ per mole of atoms
energy of formation	-75	meV per atom
magnetic moment	0.00	μB/f.u.
uncorrected energy	-0.951	eV/atom

a b c (Å): 8.329 8.329 8.329
angles (deg): 90.00 90.00 90.00
Space group F-43m (No. 216)
One atom of each set of equivalent atoms:
Rb1 0.000 0.000 0.000
Na1 0.000 0.000 0.500
Cd1 0.250 0.250 0.750
Hg1 0.250 0.250 0.250

---

First-principles (GGA-PBE) data for crystalline RbNaCdHg at its relaxed geometry, as listed in the Alexandria database.

Summary:
energy above the most stable polymorph in this dataset	0.0	kJ per mole of atoms
energy of formation	-136	meV per atom
magnetic moment	0.00	μB/f.u.
uncorrected energy	-1.012	eV/atom

a b c (Å): 9.066 5.236 7.124
angles (deg): 90.00 115.27 90.00
Space group Cm (No. 8)
One atom of each set of equivalent atoms:
Rb1 0.000 0.000 0.000
Na1 0.192 0.000 0.576
Cd1 0.466 0.000 0.398
Hg1 0.298 0.500 0.394

---

First-principles (GGA-PBE) data for crystalline RbNaCdHg2 at its relaxed geometry, as listed in the Alexandria database.

Summary:
energy above the most stable polymorph in this dataset	0.0	kJ per mole of atoms
energy of formation	-183	meV per atom
magnetic moment	0.00	μB/f.u.
uncorrected energy	-0.944	eV/atom

a b c (Å): 4.845 4.845 14.223
angles (deg): 90.00 90.00 90.00
Space group I-4m2 (No. 119)
One atom of each set of equivalent atoms:
Rb1 0.000 0.000 0.000
Na1 0.000 0.500 0.750
Cd1 0.000 0.500 0.250
Hg1 0.000 0.000 0.390

---

First-principles (GGA-PBE) data for crystalline Rb2NaCd3Hg4 at its relaxed geometry, as listed in the Alexandria database.

Summary:
energy of formation	-154	meV per atom
magnetic moment	0.00	μB/f.u.
uncorrected energy	-0.874	eV/atom

a b c (Å): 5.094 5.094 12.623
angles (deg): 90.00 90.00 90.00
Space group P-4m2 (No. 115)
One atom of each set of equivalent atoms:
Rb1 0.000 0.500 0.241
Na1 0.000 0.000 0.500
Cd1 0.000 0.500 0.871
Cd2 0.500 0.500 0.500
Hg1 0.000 0.000 0.000
Hg2 0.000 0.500 0.637
Hg3 0.500 0.500 0.000